No. 1
## GdInIrRu (PBE)

Data for crystalline GdInIrRu at its relaxed geometry.

Cell and atoms, written as POSCAR:
```
GdInIrRu
1.0
6.6769 0.0000 0.0000
0.0000 6.6769 0.0000
0.0000 0.0000 6.6769
Gd In Ir Ru
4 4 4 4
direct
0.0000 0.0000 0.0000 Gd
0.0000 0.5000 0.5000 Gd
0.5000 0.0000 0.5000 Gd
0.5000 0.5000 0.0000 Gd
0.0000 0.0000 0.5000 In
0.0000 0.5000 0.0000 In
0.5000 0.0000 0.0000 In
0.5000 0.5000 0.5000 In
0.2500 0.2500 0.7500 Ir
0.2500 0.7500 0.2500 Ir
0.7500 0.2500 0.2500 Ir
0.7500 0.7500 0.7500 Ir
0.2500 0.2500 0.2500 Ru
0.2500 0.7500 0.7500 Ru
0.7500 0.2500 0.7500 Ru
0.7500 0.7500 0.2500 Ru
```

Values from the calculation:
- Energy of formation: -0.292 eV per atom
- Crystal system: cubic

No. 2
## GdScInIr (PBE)

Data for crystalline GdScInIr at its relaxed geometry.

Cell and atoms, written as POSCAR:
```
GdScInIr
1.0
7.0192 0.0000 0.0000
0.0000 7.0192 0.0000
0.0000 0.0000 7.0192
Gd Sc In Ir
4 4 4 4
direct
0.0000 0.0000 0.0000 Gd
0.0000 0.5000 0.5000 Gd
0.5000 0.0000 0.5000 Gd
0.5000 0.5000 0.0000 Gd
0.0000 0.0000 0.5000 Sc
0.0000 0.5000 0.0000 Sc
0.5000 0.0000 0.0000 Sc
0.5000 0.5000 0.5000 Sc
0.2500 0.2500 0.2500 In
0.2500 0.7500 0.7500 In
0.7500 0.2500 0.7500 In
0.7500 0.7500 0.2500 In
0.2500 0.2500 0.7500 Ir
0.2500 0.7500 0.2500 Ir
0.7500 0.2500 0.2500 Ir
0.7500 0.7500 0.7500 Ir
```

Values from the calculation:
- Energy of formation: -0.530 eV per atom
- Crystal system: cubic

No. 3
## SmGdInIr (PBE)

Data for crystalline SmGdInIr at its relaxed geometry.

Cell and atoms, written as POSCAR:
```
SmGdInIr
1.0
7.2876 0.0000 0.0000
0.0000 7.2876 0.0000
0.0000 0.0000 7.2876
Sm Gd In Ir
4 4 4 4
direct
0.0000 0.0000 0.0000 Sm
0.0000 0.5000 0.5000 Sm
0.5000 0.0000 0.5000 Sm
0.5000 0.5000 0.0000 Sm
0.0000 0.0000 0.5000 Gd
0.0000 0.5000 0.0000 Gd
0.5000 0.0000 0.0000 Gd
0.5000 0.5000 0.5000 Gd
0.2500 0.2500 0.2500 In
0.2500 0.7500 0.7500 In
0.7500 0.2500 0.7500 In
0.7500 0.7500 0.2500 In
0.2500 0.2500 0.7500 Ir
0.2500 0.7500 0.2500 Ir
0.7500 0.2500 0.2500 Ir
0.7500 0.7500 0.7500 Ir
```

Values from the calculation:
- Energy of formation: -0.484 eV per atom
- Crystal system: cubic

No. 4
## GdTmInIr (PBE)

Data for crystalline GdTmInIr at its relaxed geometry.

Cell and atoms, written as POSCAR:
```
GdTmInIr
1.0
7.1642 0.0000 0.0000
0.0000 7.1642 0.0000
0.0000 0.0000 7.1642
Gd Tm In Ir
4 4 4 4
direct
0.0000 0.0000 0.0000 Gd
0.0000 0.5000 0.5000 Gd
0.5000 0.0000 0.5000 Gd
0.5000 0.5000 0.0000 Gd
0.0000 0.0000 0.5000 Tm
0.0000 0.5000 0.0000 Tm
0.5000 0.0000 0.0000 Tm
0.5000 0.5000 0.5000 Tm
0.2500 0.2500 0.7500 In
0.2500 0.7500 0.2500 In
0.7500 0.2500 0.2500 In
0.7500 0.7500 0.7500 In
0.2500 0.2500 0.2500 Ir
0.2500 0.7500 0.7500 Ir
0.7500 0.2500 0.7500 Ir
0.7500 0.7500 0.2500 Ir
```

Values from the calculation:
- Energy of formation: -0.550 eV per atom
- Crystal system: cubic